# 1
# PBE-GGA HfCdAsBr2, optimized geometry
# Formation energy (no corrections) (meV per atom): -382.6
# VASP energy (eV/atom): -4.16
# Relative energy among the computed polymorphs (eV/f.u.): 0.00
# Crystal system: tetragonal
data_HfCdAsBr2
_space_group_name_H-M_alt 'P 4/m m m'
_space_group_IT_number 123
_space_group_name_Hall '-P 4 2'
_cell_length_a 5.254
_cell_length_b 5.254
_cell_length_c 5.339
_cell_angle_alpha 90.00
_cell_angle_beta 90.00
_cell_angle_gamma 90.00
loop_
_atom_site_label
_atom_site_type_symbol
_atom_site_fract_x
_atom_site_fract_y
_atom_site_fract_z
_atom_site_occupancy
Hf1 Hf 0.000 0.000 0.000 1
Cd1 Cd 0.500 0.500 0.500 1
As1 As 0.000 0.000 0.500 1
Br1 Br 0.000 0.500 0.000 1

---

# 2
# PBE-GGA KFeIr2, optimized geometry
# VASP energy (eV/atom): -6.02
# Relative energy among the computed polymorphs (eV/f.u.): 1.44
# Formation energy from the elements (eV/atom): 0.800
# Crystal system: orthorhombic
data_KFeIr2
_space_group_name_H-M_alt 'I m m 2'
_space_group_IT_number 44
_cell_length_a 2.685
_cell_length_b 5.257
_cell_length_c 10.613
_cell_angle_alpha 90.00
_cell_angle_beta 90.00
_cell_angle_gamma 90.00
loop_
_space_group_symop_operation_xyz
'x,y,z'
'-x,-y,z'
'-x,y,z'
'x,-y,z'
'x+1/2,y+1/2,z+1/2'
'-x+1/2,-y+1/2,z+1/2'
'-x+1/2,y+1/2,z+1/2'
'x+1/2,-y+1/2,z+1/2'
loop_
_atom_site_label
_atom_site_type_symbol
_atom_site_fract_x
_atom_site_fract_y
_atom_site_fract_z
_atom_site_occupancy
K1 K 0.000 0.000 0.000 1
Fe1 Fe 0.000 0.500 0.793 1
Ir1 Ir 0.000 0.000 0.500 1
Ir2 Ir 0.000 0.500 0.207 1

---

# 3
# PBE-GGA Mg2OsPb, optimized geometry
# VASP energy (eV/atom): -4.22
# Formation energy from the elements (eV/atom): 0.309
# Crystal system: monoclinic
data_Mg2OsPb
_space_group_name_H-M_alt 'C 1 m 1'
_space_group_IT_number 8
_cell_length_a 9.945
_cell_length_b 3.449
_cell_length_c 4.786
_cell_angle_alpha 90.00
_cell_angle_beta 109.74
_cell_angle_gamma 90.00
loop_
_space_group_symop_operation_xyz
'x,y,z'
'x,-y,z'
'x+1/2,y+1/2,z'
'x+1/2,-y+1/2,z'
loop_
_atom_site_label
_atom_site_type_symbol
_atom_site_fract_x
_atom_site_fract_y
_atom_site_fract_z
_atom_site_occupancy
Mg1 Mg 0.000 0.000 0.000 1
Mg2 Mg 0.231 0.000 0.756 1
Os1 Os 0.006 0.500 0.503 1
Pb1 Pb 0.267 0.500 0.304 1

---

Computed magnetic moment (μB per atom) in order:
0.00, 0.90, 0.00